Entry from Alexandria via LeMat-Bulk: crystalline Nd2ErInO at its relaxed geometry (GGA-PBE).

Summary:
SG: P4/mmm, No. 123
calculated total energy: -28.80 eV for the cell shown
formation energy (no corrections): -1.402 eV/atom
DOS at the Fermi energy: 2.24 states/eV per cell

Cell lengths 4.687, 5.025, 5.025 Å; angles 90.00, 90.00, 90.00 degrees
Element x y z (fractional)
Nd: 0.000 0.000 0.500
Nd: 0.000 0.500 0.000
Er: 0.500 0.000 0.000
In: 0.500 0.500 0.500
O: 0.000 0.000 0.000